Entry 1:
DFT (PBE) results for an optimized crystal structure of CoTe2MoI.

Computed properties:
Magnetic moment = 0.5591 μB per atom
Uncorrected formation energy = 0.95 eV per atom
Energy = -21.00 eV per cell
Relative energy among the computed polymorphs = 0.0 meV/atom

Geometry as POSCAR:
```
CoTe2MoI
1.0
-0.1693 4.9651 0.5115
-4.0849 0.1563 -2.8691
-3.0486 -0.5481 4.3107
I Mo Te Co
1 1 2 1
Direct
0.0000 0.0000 0.5000
0.5000 0.5000 0.5000
0.0000 0.5000 0.0000
0.5000 0.0000 0.0000
0.0000 0.0000 0.0000
```

Entry 2:
DFT (PBE) results for an optimized crystal structure of TaCdIO2.

Computed properties:
Magnetic moment = 0.4565 μB per atom
Uncorrected formation energy = 0.80 eV per atom
Energy = -20.24 eV per cell
Relative energy among the computed polymorphs = 1936.6 meV/atom

Geometry as POSCAR:
```
TaCdIO2
1.0
4.2149 0.0000 0.0000
0.0000 4.2149 0.0000
0.0000 0.0000 5.7069
I Cd O Ta
1 1 2 1
Direct
0.0000 0.0000 0.5000
0.0000 0.0000 0.0000
0.0000 0.5000 0.0000
0.5000 0.0000 0.0000
0.5000 0.5000 0.5000
```

Entry 3:
DFT (PBE) results for an optimized crystal structure of TmCd8Ag4.

Computed properties:
Formation energy = -9 kJ per mole of atoms
Magnetic moment = 0.0000 μB per atom
Energy = -24.42 eV per cell

Geometry as POSCAR:
```
TmCd8Ag4
1.0
-0.0436 0.1075 5.6206
-5.6401 -4.1244 2.8466
4.1561 -5.5631 2.9502
Tm Cd Ag
1 8 4
Direct
0.0000 0.0000 0.0000
0.0000 0.3430 0.6570
0.0000 0.6570 0.3430
0.3430 0.6570 0.6570
0.6570 0.3430 0.3430
0.5000 0.7899 0.2101
0.5000 0.2101 0.7899
0.2899 0.2101 0.2101
0.7101 0.7899 0.7899
0.0000 0.0000 0.5000
0.5000 0.0000 0.5000
0.0000 0.5000 0.0000
0.5000 0.5000 0.0000
```

Entry 4:
DFT (PBE) results for an optimized crystal structure of Na3TeF.

Computed properties:
Magnetic moment = 0.0000 μB per atom
Uncorrected formation energy = -1.64 eV per atom
Energy = -17.19 eV per cell
Relative energy among the computed polymorphs = 0.0 meV/atom

Geometry as POSCAR:
```
Na3TeF
1.0
-3.7269 0.4848 -2.8692
-1.2428 -4.4808 0.8572
-2.6311 1.4298 3.6593
Na Te F
3 1 1
Direct
0.0000 0.5000 0.0000
0.0000 0.0000 0.5000
0.5000 0.0000 0.0000
0.5000 0.5000 0.5000
0.0000 0.0000 0.0000
```

Entry 5:
DFT (PBE) results for an optimized crystal structure of Co2ReTe.

Computed properties:
Magnetic moment = 0.0000 μB per atom
Uncorrected formation energy = 0.45 eV per atom
Energy = -28.00 eV per cell

Geometry as POSCAR:
```
Co2ReTe
1.0
3.5918 0.0000 0.0000
0.0000 2.9408 0.0329
0.0000 2.8811 5.5105
Co Re Te
2 1 1
Direct
0.0000 0.9712 0.0291
0.0000 0.5288 0.4709
0.5000 0.2500 0.2500
0.5000 0.7500 0.7500
```

Entry 6:
DFT (PBE) results for an optimized crystal structure of CaUIr2.

Computed properties:
Formation energy = -40 kJ per mole of atoms
Magnetic moment = 0.2798 μB per atom
Energy = -130.67 eV per cell
Relative energy among the computed polymorphs = 64.1 meV/atom

Geometry as POSCAR:
```
CaUIr2
1.0
-3.3524 -4.3542 1.6430
4.7945 -3.0672 1.6545
0.6193 5.7623 8.8881
Ca U Ir
4 4 8
Direct
0.9537 0.6235 0.6472
0.0463 0.3765 0.3528
0.5463 0.6235 0.8528
0.4537 0.3765 0.1472
0.5537 0.8832 0.3600
0.4463 0.1168 0.6400
0.9463 0.8832 0.1400
0.0537 0.1168 0.8600
0.9187 0.3165 0.0523
0.0813 0.6835 0.9477
0.5813 0.3165 0.4477
0.4187 0.6835 0.5523
0.5437 0.1181 0.8905
0.4563 0.8819 0.1095
0.9563 0.1181 0.6095
0.0437 0.8819 0.3905
```

Entry 7:
DFT (PBE) results for an optimized crystal structure of Er5Tm12Th.

Computed properties:
Formation energy = 1 kJ per mole of atoms
Magnetic moment = 0.0000 μB per atom
Energy = -83.66 eV per cell

Geometry as POSCAR:
```
Er5Tm12Th
1.0
-3.2303 -4.9614 1.3911
6.0640 -0.0963 0.4525
-0.1738 3.5639 16.7514
Er Tm Th
5 12 1
Direct
0.5000 0.5000 0.5000
0.8337 0.1663 0.5000
0.1663 0.8337 0.5000
0.3333 0.6667 0.0000
0.6667 0.3333 0.0000
0.1111 0.1111 0.6678
0.8889 0.8889 0.3322
0.2756 0.2756 0.1661
0.7244 0.7244 0.8339
0.6128 0.9440 0.1661
0.0560 0.3872 0.8339
0.9440 0.6128 0.1661
0.3872 0.0560 0.8339
0.5553 0.2221 0.3321
0.2221 0.5553 0.3321
0.7779 0.4447 0.6679
0.4447 0.7779 0.6679
0.0000 0.0000 0.0000
```

Entry 8:
DFT (PBE) results for an optimized crystal structure of NbNi3Pd.

Computed properties:
Formation energy = -10 kJ per mole of atoms
Magnetic moment = 0.1035 μB per atom
Energy = -66.29 eV per cell
Relative energy among the computed polymorphs = 106.6 meV/atom

Geometry as POSCAR:
```
NbNi3Pd
1.0
4.6802 0.0000 1.5074
2.0974 4.1839 1.5074
0.3462 0.2137 6.9443
Nb Ni Pd
2 6 2
Direct
0.0760 0.0760 0.7721
0.9240 0.9240 0.2279
0.1107 0.6204 0.6486
0.6204 0.1107 0.6486
0.3796 0.3796 0.3514
0.3796 0.8893 0.3514
0.8893 0.3796 0.3514
0.6204 0.6204 0.6486
0.3339 0.3339 0.9984
0.6661 0.6661 0.0016
```